[1]
Density functional theory data (GGA-PBE) for Cs3MgSc after structural relaxation.

The space group is Pm-3m (No. 221) and the conventional cell measures 7.443, 7.443 and 7.443 Å, with angles of 90.00, 90.00 and 90.00 degrees. The inequivalent atoms are Cs at (0.000, 0.000, 0.500), Mg at (0.000, 0.000, 0.000) and Sc at (0.500, 0.500, 0.500).

As for the formation enthalpy at 0 K: 4.20 eV/f.u. Its uncorrected energy is -1.26 eV per atom. The crystal system is cubic.

***

[2]
Density functional theory data (GGA-PBE) for CsMg2Sc2 after structural relaxation.

The space group is P4/mbm (No. 127) and the conventional cell measures 9.535, 9.535 and 3.378 Å, with angles of 90.00, 90.00 and 90.00 degrees. The inequivalent atoms are Cs at (0.000, 0.000, 0.000), Mg at (0.171, 0.329, 0.500) and Sc at (0.115, 0.615, 0.000).

As for the formation enthalpy at 0 K: 1.58 eV/f.u. Its uncorrected energy is -3.03 eV per atom. The crystal system is tetragonal.

***

[3]
Density functional theory data (GGA-PBE) for CsMgSc2Se after structural relaxation.

The space group is P4/mmm (No. 123) and the conventional cell measures 5.309, 5.309 and 5.588 Å, with angles of 90.00, 90.00 and 90.00 degrees. The inequivalent atoms are Cs at (0.000, 0.000, 0.000), Mg at (0.000, 0.000, 0.500), Sc at (0.000, 0.500, 0.000) and Se at (0.500, 0.500, 0.500).

Its uncorrected energy is -2.25 eV per atom. The crystal system is tetragonal. For the energy relative to the elements, uncorrected, the calculation gives 1469.7 meV/atom.

***

[4]
Density functional theory data (GGA-PBE) for CsMgSc2Sn after structural relaxation.

The space group is P4/mmm (No. 123) and the conventional cell measures 5.605, 5.605 and 5.791 Å, with angles of 90.00, 90.00 and 90.00 degrees. The inequivalent atoms are Cs at (0.000, 0.000, 0.000), Mg at (0.000, 0.000, 0.500), Sc at (0.000, 0.500, 0.500) and Sn at (0.500, 0.500, 0.000).

As for the formation enthalpy at 0 K: 4.35 eV/f.u. Its uncorrected energy is -2.95 eV per atom. The crystal system is tetragonal.

***

[5]
Density functional theory data (GGA-PBE) for CsMgSc2Te4 after structural relaxation.

The space group is Cmcm (No. 63) and the conventional cell measures 4.388, 15.382 and 15.537 Å, with angles of 90.00, 90.00 and 90.00 degrees. The inequivalent atoms are Cs at (0.000, 0.121, 0.250), Mg at (0.000, 0.170, 0.750), Sc at (0.000, 0.378, 0.055), Te at (0.000, 0.000, 0.000), Te at (0.000, 0.253, 0.595) and Te at (0.000, 0.435, 0.250).

Its uncorrected energy is -4.48 eV per atom. The crystal system is orthorhombic. For the energy relative to the elements, uncorrected, the calculation gives -1023.6 meV/atom.

***

[6]
Density functional theory data (GGA-PBE) for Cs3MgSc2Te6 after structural relaxation.

The space group is C2/m (No. 12) and the conventional cell measures 7.550, 13.074 and 9.271 Å, with angles of 90.00, 105.72 and 90.00 degrees. The inequivalent atoms are Cs at (0.000, 0.000, 0.000), Cs at (0.000, 0.335, 0.000), Mg at (0.000, 0.500, 0.500), Sc at (0.000, 0.167, 0.500), Te at (0.221, 0.000, 0.680) and Te at (0.230, 0.330, 0.681).

Its uncorrected energy is -4.03 eV per atom. The crystal system is monoclinic. For the energy relative to the elements, uncorrected, the calculation gives -1056.2 meV/atom.